DFT (PBE-GGA) results for a relaxed structure of Na4NiAgGe2.

Cell: 4.7028 4.7028 6.8028 Å, 90.00 90.00 90.00°
Last column: nearest neighbours and their distance in Å.
Fractional coordinates of all 8 atoms:
Na: 0.0000 0.0000 0.5000  4 Ge 2.80, 4 Na 2.87
Na: 0.5000 0.5000 0.0000  4 Na 2.94, 4 Ge 3.02
Na: 0.0000 0.5000 0.2584  2 Ni 2.87, 4 Na 2.87-2.94, 2 Ag 2.94, 1 Ge 3.15
Na: 0.5000 0.0000 0.7416  2 Ni 2.87, 4 Na 2.87-2.94, 2 Ag 2.94, 1 Ge 3.15
Ge: 0.5000 0.0000 0.2778  2 Ni 2.80, 4 Na 2.80-3.02, 2 Ag 3.02
Ge: 0.0000 0.5000 0.7222  2 Ni 2.80, 4 Na 2.80-3.02, 2 Ag 3.02
Ni: 0.5000 0.5000 0.5000  4 Ge 2.80, 4 Na 2.87
Ag: 0.0000 0.0000 0.0000  4 Na 2.94, 4 Ge 3.02

Values from the calculation:
* V: 18.806 Å³/atom
* density: 4.46 g cm⁻³
* DFT total energy: -2.80 eV per atom